Entry 1:
Sm3Dy2Er after structural relaxation, computed with PBE.

Cell lengths 6.212, 6.212, 11.541 Å; angles 90.00, 90.00, 59.97 degrees
Atoms (fractional coordinates):
Er  0.834  0.166  0.720
Er  0.166  0.834  0.220
Sm  0.501  0.499  0.970
Sm  0.833  0.834  0.470
Sm  0.166  0.167  0.470
Sm  0.167  0.166  0.970
Sm  0.834  0.833  0.970
Sm  0.499  0.501  0.470
Dy  0.167  0.499  0.720
Dy  0.501  0.833  0.720
Dy  0.499  0.167  0.220
Dy  0.833  0.501  0.220

Values from the calculation:
Total moment: 0.18 Bohr magnetons per cell
Space group: Cmcm (63)
Energy of formation: -5 meV/atom

=====

Entry 2:
Pd after structural relaxation, computed with PBE.

Cell lengths 8.351, 8.351, 8.351 Å; angles 109.47, 109.47, 109.47 degrees
Atoms (fractional coordinates):
Pd  0.191  0.811  0.191
Pd  0.415  0.415  0.725
Pd  0.415  0.725  0.415
Pd  0.275  0.690  0.690
Pd  0.000  0.344  0.000
Pd  0.809  0.621  0.000
Pd  0.379  0.379  0.189
Pd  0.621  0.809  0.000
Pd  0.310  0.585  0.000
Pd  0.344  0.000  0.000
Pd  0.656  0.656  0.656
Pd  0.690  0.275  0.690
Pd  0.000  0.000  0.000
Pd  0.621  0.000  0.809
Pd  0.690  0.690  0.275
Pd  0.725  0.415  0.415
Pd  0.000  0.585  0.310
Pd  0.000  0.809  0.621
Pd  0.585  0.000  0.310
Pd  0.379  0.189  0.379
Pd  0.189  0.379  0.379
Pd  0.811  0.191  0.191
Pd  0.000  0.000  0.344
Pd  0.310  0.000  0.585
Pd  0.000  0.621  0.809
Pd  0.191  0.191  0.811
Pd  0.585  0.310  0.000
Pd  0.809  0.000  0.621
Pd  0.000  0.310  0.585

Values from the calculation:
Space group: I-43m (217)
Energy relative to the lowest polymorph listed for this composition: 95 meV per atom
Energy of formation: 95 meV/atom

=====

Entry 3:
SmErGe2Au2 after structural relaxation, computed with PBE.

Cell lengths 4.487, 4.487, 7.424 Å; angles 90.00, 90.00, 120.00 degrees
Atoms (fractional coordinates):
Sm  0.000  0.000  0.243
Ge  0.667  0.333  0.030
Ge  0.333  0.667  0.540
Au  0.333  0.667  0.944
Au  0.667  0.333  0.477
Er  0.000  0.000  0.745

Values from the calculation:
Total moment: 0.00 Bohr magnetons per cell
Space group: P3m1 (156)

=====

Entry 4:
Hf2ZrNi2As4Pd2 after structural relaxation, computed with PBE.

Cell lengths 6.488, 3.863, 7.572 Å; angles 90.00, 91.47, 90.00 degrees
Atoms (fractional coordinates):
As  0.766  0.000  0.391
As  0.239  0.000  0.132
As  0.228  0.500  0.617
As  0.790  0.500  0.864
Ni  0.145  0.000  0.443
Ni  0.857  0.500  0.556
Pd  0.648  0.000  0.065
Pd  0.363  0.500  0.936
Zr  0.530  0.000  0.688
Hf  0.464  0.500  0.319
Hf  0.966  0.500  0.186

Values from the calculation:
Total moment: 0.00 Bohr magnetons per cell
Space group: Pm (6)
Energy relative to the lowest polymorph listed for this composition: 14 meV per atom

=====

Entry 5:
TmInGe after structural relaxation, computed with PBE.

Cell lengths 4.883, 4.883, 4.883 Å; angles 60.00, 60.00, 60.00 degrees
Atoms (fractional coordinates):
In  0.750  0.750  0.750
Ge  0.250  0.250  0.250
Tm  0.000  0.000  0.000

Values from the calculation:
Total moment: 0.00 Bohr magnetons per cell
Space group: F-43m (216)

=====

Entry 6:
SmHoBr2N after structural relaxation, computed with PBE.

Cell lengths 3.689, 3.689, 10.555 Å; angles 90.00, 90.00, 120.00 degrees
Atoms (fractional coordinates):
Br  0.000  0.000  0.816
Br  0.333  0.667  0.194
N  0.667  0.333  0.489
Ho  0.000  0.000  0.376
Sm  0.333  0.667  0.625

Values from the calculation:
Total moment: 0.00 Bohr magnetons per cell
Space group: P3m1 (156)

=====

Entry 7:
LuAlOs2 after structural relaxation, computed with PBE.

Cell lengths 4.542, 4.542, 4.542 Å; angles 60.00, 60.00, 60.00 degrees
Atoms (fractional coordinates):
Al  0.500  0.500  0.500
Os  0.000  0.000  0.000
Os  0.750  0.750  0.750
Lu  0.250  0.250  0.250

Values from the calculation:
Total moment: 0.02 Bohr magnetons per cell
Space group: F-43m (216)

=====

Entry 8:
HoAl2Cu3 after structural relaxation, computed with PBE.

Cell lengths 5.236, 5.236, 4.000 Å; angles 90.00, 90.00, 60.00 degrees
Atoms (fractional coordinates):
Cu  0.500  0.500  0.000
Cu  0.500  0.000  0.000
Cu  0.000  0.500  0.000
Ho  0.000  0.000  0.500
Al  0.667  0.667  0.500
Al  0.333  0.333  0.500

Values from the calculation:
Total moment: 0.00 Bohr magnetons per cell
Space group: P6/mmm (191)

=====

Entry 9:
PmNbAsO after structural relaxation, computed with PBE.

Cell lengths 4.202, 4.886, 7.024 Å; angles 90.00, 90.00, 90.00 degrees
Atoms (fractional coordinates):
O  0.500  0.650  0.936
O  0.500  0.350  0.436
Nb  0.000  0.350  0.439
Nb  0.000  0.650  0.939
Pm  0.500  0.827  0.590
Pm  0.500  0.173  0.090
As  0.000  0.843  0.288
As  0.000  0.157  0.788

Values from the calculation:
Total moment: 0.02 Bohr magnetons per cell
Space group: Pmc2_1 (26)
Energy relative to the lowest polymorph listed for this composition: 241 meV per atom

=====

Entry 10:
NdHfPa after structural relaxation, computed with PBE.

Cell lengths 5.067, 5.067, 5.067 Å; angles 60.00, 60.00, 60.00 degrees
Atoms (fractional coordinates):
Nd  0.250  0.250  0.250
Hf  0.000  0.000  0.000
Pa  0.750  0.750  0.750

Values from the calculation:
Total moment: 0.00 Bohr magnetons per cell
Space group: F-43m (216)
Energy relative to the lowest polymorph listed for this composition: 0 meV per atom
Energy of formation: 923 meV/atom

=====

Entry 11:
LiSnPt after structural relaxation, computed with PBE.

Cell lengths 4.386, 4.386, 4.386 Å; angles 60.00, 60.00, 60.00 degrees
Atoms (fractional coordinates):
Sn  0.750  0.750  0.750
Li  0.250  0.250  0.250
Pt  0.000  0.000  0.000

Values from the calculation:
Total moment: 0.00 Bohr magnetons per cell
Space group: F-43m (216)

=====

Entry 12:
GdTeN3 after structural relaxation, computed with PBE.

Cell lengths 5.831, 3.819, 7.981 Å; angles 90.00, 110.83, 90.00 degrees
Atoms (fractional coordinates):
N  0.896  0.250  0.393
N  0.724  0.250  0.733
N  0.323  0.250  0.876
N  0.677  0.750  0.124
N  0.276  0.750  0.267
N  0.104  0.750  0.607
Gd  0.451  0.250  0.182
Gd  0.549  0.750  0.818
Te  0.014  0.250  0.676
Te  0.986  0.750  0.324

Values from the calculation:
Total moment: 0.00 Bohr magnetons per cell
Space group: P2_1/m (11)

=====

| no. | electronic total energy (eV/cell) |
| --- | --- |
| 1 | -55.85 |
| 2 | -147.32 |
| 3 | -30.05 |
| 4 | -77.20 |
| 5 | -12.18 |
| 6 | -29.48 |
| 7 | -30.25 |
| 8 | -25.27 |
| 9 | -61.96 |
| 10 | -21.45 |
| 11 | -13.67 |
| 12 | -65.52 |